(1)
Here is a relaxed Na2LiY3Se6 crystal from the Alexandria database. Energies are from PBE.

Results
The symmetry is No. 12. As for the crystal system: monoclinic. The value obtained for the volume is 303.2 Å³/cell. The calculation puts the final energy at -5.442 eV/atom. The density of states at the Fermi level comes out at 0.00 states/eV/f.u. The spin magnetization is 0.0 μB/f.u.

a = 7.1509 Å, b = 7.1509 Å, c = 7.2485 Å
α = 99.46°, β = 99.46°, γ = 120.00°
Fractional coordinates of all 12 atoms:
Se: 0.2403 0.2403 0.7370
Y: 0.1673 0.8327 0.5000
Y: 0.5000 0.5000 0.5000
Se: 0.7597 0.7597 0.2630
Li: 0.0000 0.0000 0.0000
Se: 0.4159 0.0876 0.2630
Y: 0.8327 0.1673 0.5000
Se: 0.9124 0.5841 0.7370
Na: 0.3339 0.6661 0.0000
Se: 0.0876 0.4159 0.2630
Se: 0.5841 0.9124 0.7370
Na: 0.6661 0.3339 0.0000

***

(2)
Here is a relaxed IrRuRh crystal from the Alexandria database. Energies are from PBE.

Results
The symmetry is No. 42. As for the crystal system: orthorhombic. The value obtained for the volume is 44.2 Å³/cell. The calculation puts the final energy at -8.154 eV/atom. The density of states at the Fermi level comes out at 4.15 states/eV/f.u. The spin magnetization is 1.3 μB/f.u. The value obtained for the formation energy is 33 kJ per mole of atoms.

a = 7.3496 Å, b = 7.1021 Å, c = 2.6971 Å
α = 84.46°, β = 74.12°, γ = 21.42°
Last column: magnetic moment on the atom in μB.
Fractional coordinates of all 3 atoms:
Rh: 0.3321 0.3321 0.6679  0.16
Ir: 0.0018 0.0018 0.9982  0.14
Ru: 0.6660 0.6660 0.3340  0.91

***

(3)
Here is a relaxed Nd5SmTl6 crystal from the Alexandria database. Energies are from PBE.

Results
The symmetry is No. 71. As for the crystal system: orthorhombic. The value obtained for the volume is 355.5 Å³/cell. The calculation puts the final energy at -3.950 eV/atom. The density of states at the Fermi level comes out at 9.61 states/eV/f.u. The spin magnetization is 0.0 μB/f.u. The value obtained for the formation energy is -37 kJ per mole of atoms.

a = 5.5180 Å, b = 9.5360 Å, c = 9.5622 Å
α = 60.08°, β = 73.21°, γ = 54.61°
Fractional coordinates of all 12 atoms:
Nd: 0.5000 0.8320 0.3360
Tl: 0.2482 0.5862 0.3312
Tl: 0.7518 0.4138 0.6688
Tl: 0.2482 0.9174 0.6688
Tl: 0.2539 0.2465 0.0000
Tl: 0.7461 0.7535 0.0000
Nd: 0.5000 0.1680 0.6640
Nd: 0.5000 0.5000 0.0000
Nd: 0.0000 0.6662 0.6676
Sm: 0.0000 0.0000 0.0000
Tl: 0.7518 0.0826 0.3312
Nd: 0.0000 0.3338 0.3324